one:
## YZr (PBE)

Data for a geometry-optimized YZr structure.

SG = No. 136

Unit cell a=6.0596 b=6.0596 c=6.2737 alpha=90.00 beta=90.00 gamma=90.00
With the nearest neighbours (Å) after each atom.
Positions (direct):
Y 0.1798 0.1798 0.0000  1 Y 3.08, 6 Zr 3.10-3.24
Y 0.3202 0.6798 0.5000  1 Y 3.08, 6 Zr 3.10-3.24
Y 0.6798 0.3202 0.5000  1 Y 3.08, 6 Zr 3.10-3.24
Y 0.8202 0.8202 0.0000  1 Y 3.08, 6 Zr 3.10-3.24
Zr 0.1674 0.1674 0.5000  1 Zr 2.87, 4 Y 3.10-3.14
Zr 0.3326 0.6674 0.0000  1 Zr 2.87, 4 Y 3.10-3.14
Zr 0.6674 0.3326 0.0000  1 Zr 2.87, 4 Y 3.10-3.14
Zr 0.8326 0.8326 0.5000  1 Zr 2.87, 4 Y 3.10-3.14

=====

two:
## YZr (PBE)

Data for a geometry-optimized YZr structure.

SG = No. 194

Unit cell a=5.5085 b=5.5085 c=8.5486 alpha=90.00 beta=90.00 gamma=120.00
With the nearest neighbours (Å) after each atom.
Positions (direct):
Y 0.0000 0.0000 0.2500  3 Y 3.18, 6 Zr 3.46
Y 0.0000 0.0000 0.7500  3 Y 3.18, 6 Zr 3.46
Y 0.3333 0.6667 0.2500  2 Zr 2.91, 3 Y 3.18
Y 0.6667 0.3333 0.7500  2 Zr 2.91, 3 Y 3.18
Zr 0.3333 0.6667 0.5900  1 Zr 2.74, 1 Y 2.91
Zr 0.3333 0.6667 0.9100  1 Zr 2.74, 1 Y 2.91
Zr 0.6667 0.3333 0.0900  1 Zr 2.74, 1 Y 2.91
Zr 0.6667 0.3333 0.4100  1 Zr 2.74, 1 Y 2.91

=====

three:
## YZr (PBE)

Data for a geometry-optimized YZr structure.

SG = No. 194

Unit cell a=5.0390 b=5.0390 c=10.4979 alpha=90.00 beta=90.00 gamma=120.00
With the nearest neighbours (Å) after each atom.
Positions (direct):
Y 0.3333 0.6667 0.0905  4 Y 3.35-3.47, 7 Zr 3.36-3.57
Y 0.3333 0.6667 0.4095  4 Y 3.35-3.47, 7 Zr 3.36-3.57
Y 0.6667 0.3333 0.5905  4 Y 3.35-3.47, 7 Zr 3.36-3.57
Y 0.6667 0.3333 0.9095  4 Y 3.35-3.47, 7 Zr 3.36-3.57
Zr 0.0000 0.0000 0.2500  3 Zr 2.91
Zr 0.0000 0.0000 0.7500  3 Zr 2.91
Zr 0.3333 0.6667 0.7500  3 Zr 2.91
Zr 0.6667 0.3333 0.2500  3 Zr 2.91

=====

Which is most stable, and by how much? three, by 0.163 eV/atom.

=====

one:
## YZr (PBE)

Data for a geometry-optimized YZr structure.

SG = No. 129

Unit cell a=3.3445 b=3.3445 c=9.7077 alpha=90.00 beta=90.00 gamma=90.00
With the nearest neighbours (Å) after each atom.
Positions (direct):
Y 0.2500 0.2500 0.1451  8 Y 3.34-3.68, 4 Zr 3.35
Y 0.7500 0.7500 0.8549  8 Y 3.34-3.68, 4 Zr 3.35
Zr 0.2500 0.2500 0.6100  8 Zr 3.19-3.34, 4 Y 3.35
Zr 0.7500 0.7500 0.3900  8 Zr 3.19-3.34, 4 Y 3.35

=====

two:
## YZr (PBE)

Data for a geometry-optimized YZr structure.

SG = No. 166

Unit cell a=5.8362 b=5.8362 c=5.8362 alpha=33.40 beta=33.40 gamma=33.40
With the nearest neighbours (Å) after each atom.
Positions (direct):
Y 0.0000 0.0000 0.0000  6 Y 3.35, 6 Zr 3.37
Zr 0.5000 0.5000 0.5000  6 Zr 3.35, 6 Y 3.37

=====

three:
## YZr (PBE)

Data for a geometry-optimized YZr structure.

SG = No. 194

Unit cell a=3.3835 b=3.3835 c=10.8961 alpha=90.00 beta=90.00 gamma=120.00
With the nearest neighbours (Å) after each atom.
Positions (direct):
Y 0.0000 0.0000 0.0000  6 Zr 3.35, 6 Y 3.38
Y 0.0000 0.0000 0.5000  6 Zr 3.35, 6 Y 3.38
Zr 0.3333 0.6667 0.2500  6 Y 3.35, 6 Zr 3.38
Zr 0.6667 0.3333 0.7500  6 Y 3.35, 6 Zr 3.38

=====

Which is most stable, and by how much? one, by 0.035 eV/atom.

=====

one:
## YZr (PBE)

Data for a geometry-optimized YZr structure.

SG = No. 223

Unit cell a=8.3138 b=8.3138 c=8.3138 alpha=90.00 beta=90.00 gamma=90.00
With the nearest neighbours (Å) after each atom.
Positions (direct):
Y 0.0000 0.2500 0.5000  4 Zr 2.94
Y 0.0000 0.7500 0.5000  4 Zr 2.94
Y 0.2500 0.5000 0.0000  4 Zr 2.94
Y 0.5000 0.0000 0.2500  4 Zr 2.94
Y 0.5000 0.0000 0.7500  4 Zr 2.94
Y 0.7500 0.5000 0.0000  4 Zr 2.94
Zr 0.0000 0.5000 0.2500  4 Y 2.94
Zr 0.0000 0.5000 0.7500  4 Y 2.94
Zr 0.2500 0.0000 0.5000  4 Y 2.94
Zr 0.5000 0.2500 0.0000  4 Y 2.94
Zr 0.5000 0.7500 0.0000  4 Y 2.94
Zr 0.7500 0.0000 0.5000  4 Y 2.94

=====

two:
## YZr (PBE)

Data for a geometry-optimized YZr structure.

SG = No. 227

Unit cell a=5.3378 b=5.3378 c=5.3378 alpha=60.00 beta=60.00 gamma=60.00
With the nearest neighbours (Å) after each atom.
Positions (direct):
Y 0.1250 0.1250 0.1250  4 Zr 3.27, 4 Y 3.27
Y 0.8750 0.8750 0.8750  4 Y 3.27, 4 Zr 3.27
Zr 0.3750 0.3750 0.3750  4 Y 3.27, 4 Zr 3.27
Zr 0.6250 0.6250 0.6250  4 Y 3.27, 4 Zr 3.27

=====

three:
## YZr (PBE)

Data for a geometry-optimized YZr structure.

SG = No. 83

Unit cell a=11.7988 b=11.7988 c=3.2341 alpha=90.00 beta=90.00 gamma=90.00
With the nearest neighbours (Å) after each atom.
Positions (direct):
Y 0.0795 0.3608 0.0000  6 Zr 3.11-3.46, 4 Y 3.23-3.40
Y 0.3283 0.4102 0.5000  2 Zr 3.08-3.09, 6 Y 3.23-3.40
Y 0.3608 0.9205 0.0000  6 Zr 3.11-3.46, 4 Y 3.23-3.40
Y 0.4102 0.6717 0.5000  2 Zr 3.08-3.09, 6 Y 3.23-3.40
Y 0.5898 0.3283 0.5000  2 Zr 3.08-3.09, 6 Y 3.23-3.40
Y 0.6392 0.0795 0.0000  6 Zr 3.11-3.46, 4 Y 3.23-3.40
Y 0.6717 0.5898 0.5000  2 Zr 3.08-3.09, 6 Y 3.23-3.40
Y 0.9205 0.6392 0.0000  6 Zr 3.11-3.46, 4 Y 3.23-3.40
Zr 0.0987 0.8338 0.0000  2 Y 3.11-3.26, 6 Zr 3.19-3.23
Zr 0.1568 0.6081 0.5000  4 Y 3.08-3.24, 4 Zr 3.19-3.23
Zr 0.1662 0.0987 0.0000  2 Y 3.11-3.26, 6 Zr 3.19-3.23
Zr 0.3919 0.1568 0.5000  4 Y 3.08-3.24, 4 Zr 3.19-3.23
Zr 0.6081 0.8432 0.5000  4 Y 3.08-3.24, 4 Zr 3.19-3.23
Zr 0.8338 0.9013 0.0000  2 Y 3.11-3.26, 6 Zr 3.19-3.23
Zr 0.8432 0.3919 0.5000  4 Y 3.08-3.24, 4 Zr 3.19-3.23
Zr 0.9013 0.1662 0.0000  2 Y 3.11-3.26, 6 Zr 3.19-3.23

=====

Which is most stable, and by how much? two, by 0.144 eV/atom.

=====

one:
## YZr (PBE)

Data for a geometry-optimized YZr structure.

SG = No. 38

Unit cell a=5.2782 b=6.3565 c=6.3565 alpha=30.47 beta=90.00 gamma=90.00
With the nearest neighbours (Å) after each atom.
Positions (direct):
Y 0.0000 0.0000 0.0000  5 Y 3.16-3.41, 4 Zr 3.44
Y 0.0000 0.2572 0.2572  6 Zr 3.05-3.41, 5 Y 3.16-3.41
Zr 0.5000 0.3822 0.3822  2 Y 3.05, 5 Zr 3.24-3.34
Zr 0.5000 0.6465 0.6465  5 Zr 3.24-3.34, 8 Y 3.41-3.60

=====

two:
## YZr (PBE)

Data for a geometry-optimized YZr structure.

SG = No. 217

Unit cell a=8.0105 b=8.0105 c=8.0105 alpha=109.47 beta=109.47 gamma=109.47
With the nearest neighbours (Å) after each atom.
Positions (direct):
Y 0.0000 0.0000 0.5880  4 Zr 2.98-3.17
Y 0.0000 0.5880 0.0000  4 Zr 2.98-3.17
Y 0.4120 0.4120 0.4120  4 Zr 2.98-3.17
Y 0.5880 0.0000 0.0000  4 Zr 2.98-3.17
Zr 0.0000 0.0000 0.2155  3 Zr 2.82, 1 Y 2.98
Zr 0.0000 0.2155 0.0000  3 Zr 2.82, 1 Y 2.98
Zr 0.2155 0.0000 0.0000  3 Zr 2.82, 1 Y 2.98
Zr 0.7845 0.7845 0.7845  3 Zr 2.82, 1 Y 2.98

=====

Which is most stable, and by how much? one, by 1.286 eV/atom.

=====

one:
## YZr (PBE)

Data for a geometry-optimized YZr structure.

SG = No. 65

Unit cell a=5.7168 b=5.7168 c=3.3648 alpha=90.00 beta=90.00 gamma=97.43
With the nearest neighbours (Å) after each atom.
Positions (direct):
Y 0.2083 0.7917 0.0000  8 Zr 3.35-3.37, 3 Y 3.36-3.58
Y 0.7917 0.2083 0.0000  8 Zr 3.35-3.37, 3 Y 3.36-3.58
Zr 0.3061 0.3061 0.5000  1 Zr 2.93
Zr 0.6939 0.6939 0.5000  1 Zr 2.93

=====

two:
## YZr (PBE)

Data for a geometry-optimized YZr structure.

SG = No. 221

Unit cell a=3.7772 b=3.7772 c=3.7772 alpha=90.00 beta=90.00 gamma=90.00
With the nearest neighbours (Å) after each atom.
Positions (direct):
Y 0.0000 0.0000 0.0000  8 Zr 3.27
Zr 0.5000 0.5000 0.5000  8 Y 3.27

=====

Which is most stable, and by how much? one, by 0.181 eV/atom.

=====

one:
## YZr (PBE)

Data for a geometry-optimized YZr structure.

SG = No. 166

Unit cell a=11.2319 b=11.2319 c=11.2319 alpha=17.24 beta=17.24 gamma=17.24
With the nearest neighbours (Å) after each atom.
Positions (direct):
Y 0.1193 0.1193 0.1193  3 Zr 3.34, 9 Y 3.37-3.70
Y 0.8807 0.8807 0.8807  3 Zr 3.34, 9 Y 3.37-3.70
Zr 0.3709 0.3709 0.3709  9 Zr 3.16-3.37, 3 Y 3.34
Zr 0.6291 0.6291 0.6291  9 Zr 3.16-3.37, 3 Y 3.34

=====

two:
## YZr (PBE)

Data for a geometry-optimized YZr structure.

SG = No. 74

Unit cell a=5.7841 b=5.7841 c=5.7841 alpha=131.20 beta=130.99 gamma=71.66
With the nearest neighbours (Å) after each atom.
Positions (direct):
Y 0.3747 0.1247 0.2500  8 Zr 3.35-3.39, 4 Y 3.35
Y 0.6253 0.8753 0.7500  8 Zr 3.35-3.39, 4 Y 3.35
Zr 0.1239 0.3739 0.7500  4 Zr 3.33-3.37, 8 Y 3.35-3.39
Zr 0.8761 0.6261 0.2500  4 Zr 3.33-3.37, 8 Y 3.35-3.39

=====

Which is most stable, and by how much? one, by 0.024 eV/atom.

=====

one:
## Y5Zr (PBE)

Data for a geometry-optimized Y5Zr structure.

SG = No. 8

Unit cell a=6.6555 b=6.6555 c=8.3058 alpha=102.52 beta=102.52 gamma=31.03
With the nearest neighbours (Å) after each atom.
Positions (direct):
Y 0.0000 0.0000 0.0000  10 Y 3.36-3.65, 2 Zr 3.37
Y 0.0533 0.0533 0.5877  10 Y 3.42-3.74, 2 Zr 3.47
Y 0.3379 0.3379 0.6476  1 Zr 3.39, 11 Y 3.42-3.65
Y 0.6773 0.6773 0.3193  9 Y 3.37-3.56, 3 Zr 3.39-3.58
Y 0.7318 0.7318 0.9404  10 Y 3.36-3.74, 2 Zr 3.50
Zr 0.3927 0.3927 0.2670  10 Y 3.37-3.58, 2 Zr 3.56

=====

two:
## Y5Zr (PBE)

Data for a geometry-optimized Y5Zr structure.

SG = No. 65

Unit cell a=7.8151 b=7.8151 c=4.9730 alpha=90.00 beta=90.00 gamma=143.15
With the nearest neighbours (Å) after each atom.
Positions (direct):
Y 0.0000 0.0000 0.0000  8 Y 3.43, 4 Zr 3.50
Y 0.1595 0.8405 0.5000  2 Zr 3.42, 10 Y 3.43-3.65
Y 0.3396 0.6604 0.0000  10 Y 3.43-3.65, 2 Zr 3.44
Y 0.6604 0.3396 0.0000  10 Y 3.43-3.65, 2 Zr 3.44
Y 0.8405 0.1595 0.5000  2 Zr 3.42, 10 Y 3.43-3.65
Zr 0.5000 0.5000 0.5000  12 Y 3.42-3.50

=====

three:
## Y5Zr (PBE)

Data for a geometry-optimized Y5Zr structure.

SG = No. 191

Unit cell a=6.3022 b=6.3022 c=5.7315 alpha=90.00 beta=90.00 gamma=120.00
With the nearest neighbours (Å) after each atom.
Positions (direct):
Y 0.0000 0.5000 0.0000  8 Y 3.15-3.39
Y 0.3333 0.6667 0.5000  9 Y 3.39-3.64, 3 Zr 3.64
Y 0.5000 0.0000 0.0000  8 Y 3.15-3.39
Y 0.5000 0.5000 0.0000  8 Y 3.15-3.39
Y 0.6667 0.3333 0.5000  9 Y 3.39-3.64, 3 Zr 3.64
Zr 0.0000 0.0000 0.5000  6 Y 3.64

=====

Which is most stable, and by how much? one, by 0.019 eV/atom.

=====

one:
## Y5Zr (PBE)

Data for a geometry-optimized Y5Zr structure.

SG = No. 38

Unit cell a=5.5802 b=9.4633 c=9.4633 alpha=21.66 beta=90.00 gamma=90.00
With the nearest neighbours (Å) after each atom.
Positions (direct):
Y 0.0000 0.0000 0.0000  10 Y 3.43-3.80, 2 Zr 3.45
Y 0.0000 0.3194 0.3194  10 Y 3.45-3.80, 2 Zr 3.48
Y 0.5000 0.1078 0.1078  8 Y 3.43-3.66, 4 Zr 3.44
Y 0.5000 0.4355 0.4355  12 Y 3.52-3.66
Y 0.5000 0.7665 0.7665  2 Zr 3.43, 10 Y 3.45-3.61
Zr 0.0000 0.6587 0.6587  10 Y 3.43-3.48, 2 Zr 3.56

=====

two:
## Y5Zr (PBE)

Data for a geometry-optimized Y5Zr structure.

SG = No. 216

Unit cell a=6.4662 b=6.4662 c=6.4662 alpha=60.00 beta=60.00 gamma=60.00
With the nearest neighbours (Å) after each atom.
Positions (direct):
Y 0.0000 0.0000 0.0000  12 Y 3.79, 4 Zr 3.96
Y 0.1260 0.6247 0.6247  6 Y 3.22-3.24
Y 0.6247 0.1260 0.6247  6 Y 3.22-3.24
Y 0.6247 0.6247 0.1260  6 Y 3.22-3.24
Y 0.6247 0.6247 0.6247  6 Y 3.22-3.24
Zr 0.2500 0.2500 0.2500  16 Y 3.79-3.96

=====

Which is most stable, and by how much? one, by 0.359 eV/atom.

=====

one:
## YZr4 (PBE)

Data for a geometry-optimized YZr4 structure.

SG = No. 87

Unit cell a=5.6675 b=5.6675 c=5.6675 alpha=99.36 beta=99.36 gamma=132.42
With the nearest neighbours (Å) after each atom.
Positions (direct):
Y 0.0000 0.0000 0.0000  12 Zr 3.28-3.30
Zr 0.1936 0.4061 0.5997  9 Zr 3.16-3.34, 3 Y 3.28-3.30
Zr 0.4061 0.8064 0.2125  9 Zr 3.16-3.34, 3 Y 3.28-3.30
Zr 0.5939 0.1936 0.7875  9 Zr 3.16-3.34, 3 Y 3.28-3.30
Zr 0.8064 0.5939 0.4003  9 Zr 3.16-3.34, 3 Y 3.28-3.30

=====

two:
## YZr4 (PBE)

Data for a geometry-optimized YZr4 structure.

SG = No. 221

Unit cell a=5.1426 b=5.1426 c=5.1426 alpha=90.00 beta=90.00 gamma=90.00
With the nearest neighbours (Å) after each atom.
Positions (direct):
Y 0.0000 0.0000 0.0000  6 Zr 2.57
Zr 0.0000 0.0000 0.5000  2 Y 2.57
Zr 0.0000 0.5000 0.0000  2 Y 2.57
Zr 0.5000 0.0000 0.0000  2 Y 2.57
Zr 0.5000 0.5000 0.5000  12 Zr 3.64

=====

Which is most stable, and by how much? one, by 1.198 eV/atom.

=====

one:
## Y4Zr (PBE)

Data for a geometry-optimized Y4Zr structure.

SG = No. 87

Unit cell a=6.0473 b=6.0473 c=6.0473 alpha=99.41 beta=99.41 gamma=132.31
With the nearest neighbours (Å) after each atom.
Positions (direct):
Y 0.1033 0.2926 0.3959  9 Y 3.42-3.63, 3 Zr 3.45-3.50
Y 0.2926 0.8967 0.1892  9 Y 3.42-3.63, 3 Zr 3.45-3.50
Y 0.7074 0.1033 0.8108  9 Y 3.42-3.63, 3 Zr 3.45-3.50
Y 0.8967 0.7074 0.6041  9 Y 3.42-3.63, 3 Zr 3.45-3.50
Zr 0.5000 0.5000 0.0000  12 Y 3.45-3.50

=====

two:
## Y4Zr (PBE)

Data for a geometry-optimized Y4Zr structure.

SG = No. 221

Unit cell a=5.5488 b=5.5488 c=5.5488 alpha=90.00 beta=90.00 gamma=90.00
With the nearest neighbours (Å) after each atom.
Positions (direct):
Y 0.0000 0.0000 0.0000  12 Y 3.92
Y 0.0000 0.5000 0.5000  2 Zr 2.77
Y 0.5000 0.0000 0.5000  2 Zr 2.77
Y 0.5000 0.5000 0.0000  2 Zr 2.77
Zr 0.5000 0.5000 0.5000  6 Y 2.77

=====

Which is most stable, and by how much? one, by 0.462 eV/atom.

=====

one:
## Y3Zr5 (PBE)

Data for a geometry-optimized Y3Zr5 structure.

SG = No. 65

Unit cell a=6.6738 b=6.6738 c=4.6561 alpha=90.00 beta=90.00 gamma=90.73
With the nearest neighbours (Å) after each atom.
Positions (direct):
Y 0.0000 0.0000 0.0000  4 Y 3.34, 8 Zr 3.34-3.40
Y 0.2548 0.2548 0.5000  10 Zr 3.24-3.44, 2 Y 3.34
Y 0.7452 0.7452 0.5000  10 Zr 3.24-3.44, 2 Y 3.34
Zr 0.0000 0.5000 0.0000  6 Zr 3.31-3.34, 6 Y 3.33-3.34
Zr 0.2603 0.7397 0.5000  6 Y 3.24-3.44, 6 Zr 3.26-3.31
Zr 0.5000 0.0000 0.0000  6 Zr 3.31-3.34, 6 Y 3.33-3.34
Zr 0.5000 0.5000 0.0000  8 Zr 3.26-3.34, 4 Y 3.27
Zr 0.7397 0.2603 0.5000  6 Y 3.24-3.44, 6 Zr 3.26-3.31

=====

two:
## Y3Zr5 (PBE)

Data for a geometry-optimized Y3Zr5 structure.

SG = No. 193

Unit cell a=9.5940 b=9.5940 c=5.5157 alpha=90.00 beta=90.00 gamma=120.00
With the nearest neighbours (Å) after each atom.
Positions (direct):
Y 0.0000 0.3850 0.2500  8 Zr 3.20-3.34, 2 Y 3.53
Y 0.0000 0.6150 0.7500  8 Zr 3.20-3.34, 2 Y 3.53
Y 0.3850 0.0000 0.2500  8 Zr 3.20-3.34, 2 Y 3.53
Y 0.3850 0.3850 0.7500  8 Zr 3.20-3.34, 2 Y 3.53
Y 0.6150 0.0000 0.7500  8 Zr 3.20-3.34, 2 Y 3.53
Y 0.6150 0.6150 0.2500  8 Zr 3.20-3.34, 2 Y 3.53
Zr 0.0000 0.1885 0.7500  6 Zr 3.13-3.30, 4 Y 3.20-3.34
Zr 0.0000 0.8115 0.2500  6 Zr 3.13-3.30, 4 Y 3.20-3.34
Zr 0.1885 0.0000 0.7500  6 Zr 3.13-3.30, 4 Y 3.20-3.34
Zr 0.1885 0.1885 0.2500  6 Zr 3.13-3.30, 4 Y 3.20-3.34
Zr 0.3333 0.6667 0.0000  2 Zr 2.76
Zr 0.3333 0.6667 0.5000  2 Zr 2.76
Zr 0.6667 0.3333 0.0000  2 Zr 2.76
Zr 0.6667 0.3333 0.5000  2 Zr 2.76
Zr 0.8115 0.0000 0.2500  6 Zr 3.13-3.30, 4 Y 3.20-3.34
Zr 0.8115 0.8115 0.7500  6 Zr 3.13-3.30, 4 Y 3.20-3.34

=====

Which is most stable, and by how much? one, by 0.213 eV/atom.